LiTbTl3 | Alexandria | PBE | optimized geometry; formation energy = -3.0 kcal/mol of atoms; symmetry = P6_3/mmc (194); calculated volume = 25.235 A^3/atom; size of the total moment = 0.000 μB/atom
1.0
7.0545 0.0000 0.0000
-3.5272 6.1094 0.0000
0.0000 0.0000 5.8551
Li Tb Tl
2 2 6
Direct
0.0000 0.0000 0.0000
0.0000 0.0000 0.5000
0.3333 0.6667 0.2500
0.6667 0.3333 0.7500
0.1856 0.3713 0.7500
0.1856 0.8144 0.7500
0.3713 0.1856 0.2500
0.6287 0.8144 0.7500
0.8144 0.1856 0.2500
0.8144 0.6287 0.2500



ScZnCr2 | Alexandria | PBE | optimized geometry; formation energy = 1.8 kcal/mol of atoms; symmetry = I-4m2 (119); calculated volume = 15.669 A^3/atom; size of the total moment = 0.158 μB/atom
1.0
-2.2332 2.2332 3.1420
2.2332 -2.2332 3.1420
2.2332 2.2332 -3.1420
Sc Zn Cr
1 1 2
Direct
0.0000 0.0000 0.0000
0.2500 0.7500 0.5000
0.5000 0.5000 0.0000
0.7500 0.2500 0.5000



TlHg2AuBr6 | Alexandria | PBE | optimized geometry; symmetry = C2/c (15); calculated volume = 38.610 A^3/atom; size of the total moment = 0.000 μB/atom; calculated total energy = -2.07 eV/atom
1.0
7.6516 -6.9750 0.0000
7.6516 6.9750 0.0000
-2.8833 0.0000 7.2343
Tl Hg Au Br
2 4 2 12
Direct
0.1320 0.8680 0.7500
0.8680 0.1320 0.2500
0.2418 0.3598 0.7676
0.3598 0.2418 0.2676
0.6402 0.7582 0.7324
0.7582 0.6402 0.2324
0.2822 0.7178 0.2500
0.7178 0.2822 0.7500
0.0630 0.1755 0.6743
0.1375 0.6006 0.9540
0.1755 0.0630 0.1743
0.2988 0.4622 0.5162
0.3994 0.8625 0.5460
0.4622 0.2988 0.0162
0.5378 0.7012 0.9838
0.6006 0.1375 0.4540
0.7012 0.5378 0.4838
0.8245 0.9370 0.8257
0.8625 0.3994 0.0460
0.9370 0.8245 0.3257



BeAlH | Alexandria | PBE | optimized geometry; symmetry = C2/m (12); calculated volume = 10.040 A^3/atom; offset from the most stable computed form = 0.24 eV per formula unit; size of the total moment = 0.000 μB/atom
1.0
3.9567 -2.1608 0.0000
3.9567 2.1608 0.0000
-1.1087 0.0000 3.5229
Be Al H
2 2 2
Direct
0.2466 0.7534 0.0000
0.7534 0.2466 0.0000
0.3145 0.3145 0.3799
0.6855 0.6855 0.6201
0.0783 0.0783 0.8039
0.9217 0.9217 0.1961



TiAlH | Alexandria | PBE | optimized geometry; symmetry = Pnma (62); calculated volume = 12.123 A^3/atom; offset from the most stable computed form = 0.69 eV per formula unit; size of the total moment = 0.000 μB/atom
1.0
9.0450 0.0000 0.0000
0.0000 5.5630 0.0000
0.0000 0.0000 2.8912
Ti Al H
4 4 4
Direct
0.2449 0.2500 0.1970
0.2551 0.7500 0.6970
0.7449 0.2500 0.3030
0.7551 0.7500 0.8030
0.0000 0.0000 0.5000
0.0000 0.5000 0.5000
0.5000 0.0000 0.0000
0.5000 0.5000 0.0000
0.1313 0.7500 0.2127
0.3687 0.2500 0.7127
0.6313 0.7500 0.2873
0.8687 0.2500 0.7873



MnNi2Mo | Alexandria | PBE | optimized geometry; formation energy = 2.4 kcal/mol of atoms; symmetry = C2/m (12); calculated volume = 12.539 A^3/atom; offset from the most stable computed form = 0.56 eV per formula unit; size of the total moment = 0.675 μB/atom
1.0
4.3569 -1.3371 0.0000
4.3569 1.3371 0.0000
-0.8948 0.0000 4.3048
Mn Ni Mo
1 2 1
Direct
0.0000 0.0000 0.0000
0.2540 0.2540 0.7543
0.7460 0.7460 0.2457
0.5000 0.5000 0.5000



Tb5Sm3 | Alexandria | PBE | optimized geometry; formation energy = 0.5 kcal/mol of atoms; symmetry = Pmm2 (25); calculated volume = 33.071 A^3/atom; offset from the most stable computed form = 0.04 eV per formula unit; size of the total moment = 0.000 μB/atom
1.0
3.6525 0.0000 0.0000
0.0000 5.7327 0.0000
0.0000 0.0000 12.6354
Tb Sm
5 3
Direct
0.0000 0.0000 0.0000
0.0000 0.0000 0.4953
0.0000 0.5000 0.3290
0.5000 0.0000 0.2472
0.5000 0.5000 0.0820
0.0000 0.5000 0.8312
0.5000 0.0000 0.7493
0.5000 0.5000 0.5783



Ca4Bi2Br3 | Alexandria | PBE | optimized geometry; symmetry = C2/m (12); calculated volume = 35.059 A^3/atom; size of the total moment = 0.000 μB/atom; calculated total energy = -3.65 eV/atom
1.0
3.8293 -2.2083 0.0000
3.8293 2.2083 0.0000
-0.0198 0.0000 18.6569
Ca Bi Br
4 2 3
Direct
0.0006 0.0006 0.3183
0.3339 0.3339 0.1098
0.6661 0.6661 0.8902
0.9994 0.9994 0.6817
0.3328 0.3328 0.7931
0.6672 0.6672 0.2069
0.0000 0.0000 0.0000
0.3340 0.3340 0.3969
0.6660 0.6660 0.6031



Ba2LiGe3Pd12 | Alexandria | PBE | optimized geometry; formation energy = -4.6 kcal/mol of atoms; symmetry = R-3m (166); calculated volume = 21.328 A^3/atom; size of the total moment = 0.000 μB/atom
1.0
4.2940 2.4791 6.0106
-4.2940 2.4791 6.0106
0.0000 -4.9583 6.0106
Ba Li Ge Pd
2 1 3 12
Direct
0.1166 0.1166 0.1166
0.8834 0.8834 0.8834
0.5000 0.5000 0.5000
0.0000 0.5000 0.5000
0.5000 0.0000 0.5000
0.5000 0.5000 0.0000
0.1429 0.6248 0.6248
0.1502 0.1502 0.5975
0.1502 0.5975 0.1502
0.3752 0.3752 0.8571
0.3752 0.8571 0.3752
0.4025 0.8498 0.8498
0.5975 0.1502 0.1502
0.6248 0.1429 0.6248
0.6248 0.6248 0.1429
0.8498 0.4025 0.8498
0.8498 0.8498 0.4025
0.8571 0.3752 0.3752



LaTa3H | Alexandria | PBE | optimized geometry; symmetry = Pm-3m (221); calculated volume = 17.569 A^3/atom; offset from the most stable computed form = 0.00 eV per formula unit; size of the total moment = 0.000 μB/atom
1.0
4.4454 0.0000 0.0000
0.0000 4.4454 0.0000
0.0000 0.0000 4.4454
La Ta H
1 3 1
Direct
0.0000 0.0000 0.0000
0.0000 0.5000 0.5000
0.5000 0.0000 0.5000
0.5000 0.5000 0.0000
0.5000 0.5000 0.5000



TcNiHg2 | Alexandria | PBE | optimized geometry; formation energy = 15.3 kcal/mol of atoms; symmetry = F-43m (216); calculated volume = 17.341 A^3/atom; offset from the most stable computed form = 1.35 eV per formula unit; size of the total moment = 0.646 μB/atom
1.0
0.0000 3.2612 3.2612
3.2612 0.0000 3.2612
3.2612 3.2612 0.0000
Tc Ni Hg
1 1 2
Direct
0.0000 0.0000 0.0000
0.2500 0.2500 0.2500
0.5000 0.5000 0.5000
0.7500 0.7500 0.7500



LaCr2Mo | Alexandria | PBE | optimized geometry; formation energy = 17.2 kcal/mol of atoms; symmetry = Pmmm (47); calculated volume = 18.031 A^3/atom; offset from the most stable computed form = 1.27 eV per formula unit; size of the total moment = 0.083 μB/atom
1.0
3.2897 0.0000 0.0000
0.0000 4.5229 0.0000
0.0000 0.0000 4.8475
La Cr Mo
1 2 1
Direct
0.0000 0.0000 0.0000
0.0000 0.5000 0.5000
0.5000 0.0000 0.5000
0.5000 0.5000 0.0000



Cr2Ni3Pt3 | Alexandria | PBE | optimized geometry; formation energy = -4.2 kcal/mol of atoms; symmetry = Pmmm (47); calculated volume = 13.282 A^3/atom; size of the total moment = 0.580 μB/atom
1.0
3.7730 0.0000 0.0000
0.0000 3.8062 0.0000
0.0000 0.0000 7.3988
Cr Ni Pt
2 3 3
Direct
0.0000 0.0000 0.2438
0.0000 0.0000 0.7562
0.5000 0.0000 0.0000
0.5000 0.5000 0.2432
0.5000 0.5000 0.7568
0.0000 0.5000 0.0000
0.0000 0.5000 0.5000
0.5000 0.0000 0.5000



BaScOsBr2 | Alexandria | PBE | optimized geometry; symmetry = P4/mmm (123); calculated volume = 29.634 A^3/atom; size of the total moment = 0.000 μB/atom; calculated total energy = -4.58 eV/atom
1.0
5.5425 0.0000 0.0000
0.0000 5.5425 0.0000
0.0000 0.0000 4.8234
Ba Sc Os Br
1 1 1 2
Direct
0.0000 0.0000 0.0000
0.5000 0.5000 0.0000
0.5000 0.5000 0.5000
0.0000 0.5000 0.5000
0.5000 0.0000 0.5000



TiBeNiIr | Alexandria | PBE | optimized geometry; formation energy = -13.4 kcal/mol of atoms; symmetry = F-43m (216); calculated volume = 12.499 A^3/atom; size of the total moment = 0.001 μB/atom
1.0
0.0000 2.9239 2.9239
2.9239 0.0000 2.9239
2.9239 2.9239 0.0000
Ti Be Ni Ir
1 1 1 1
Direct
0.0000 0.0000 0.0000
0.5000 0.5000 0.5000
0.2500 0.2500 0.2500
0.7500 0.7500 0.7500



ErZn6 | Alexandria | PBE | optimized geometry; formation energy = -2.8 kcal/mol of atoms; symmetry = P4/nbm (125); calculated volume = 17.483 A^3/atom; offset from the most stable computed form = 0.62 eV per formula unit; size of the total moment = 0.000 μB/atom
1.0
5.4937 0.0000 0.0000
0.0000 5.4937 0.0000
0.0000 0.0000 8.1097
Er Zn
2 12
Direct
0.2500 0.7500 0.0000
0.7500 0.2500 0.0000
0.0758 0.5758 0.3605
0.0758 0.9242 0.6395
0.2500 0.2500 0.1582
0.2500 0.2500 0.8418
0.4242 0.5758 0.6395
0.4242 0.9242 0.3605
0.5758 0.0758 0.6395
0.5758 0.4242 0.3605
0.7500 0.7500 0.1582
0.7500 0.7500 0.8418
0.9242 0.0758 0.3605
0.9242 0.4242 0.6395



LiTlS2 | Alexandria | PBE | optimized geometry; symmetry = C2 (5); calculated volume = 24.013 A^3/atom; size of the total moment = 0.000 μB/atom; calculated total energy = -3.69 eV/atom
1.0
2.2046 -3.6311 0.0000
2.2046 3.6311 0.0000
-0.5033 0.0000 5.9995
Li Tl S
1 1 2
Direct
0.0000 0.0000 0.0000
0.6579 0.3421 0.5000
0.2627 0.6222 0.1692
0.3778 0.7373 0.8308



Pr4Sm3Y5 | Alexandria | PBE | optimized geometry; formation energy = 4.9 kcal/mol of atoms; symmetry = C2/m (12); calculated volume = 34.723 A^3/atom; offset from the most stable computed form = 2.35 eV per formula unit; size of the total moment = 0.031 μB/atom
1.0
8.1607 -3.0117 0.0000
8.1607 3.0117 0.0000
-4.2260 0.0000 8.4768
Pr Sm Y
4 3 5
Direct
0.0850 0.0850 0.4472
0.2144 0.2144 0.8841
0.7856 0.7856 0.1159
0.9150 0.9150 0.5528
0.2116 0.2116 0.2354
0.5000 0.5000 0.0000
0.7884 0.7884 0.7646
0.0000 0.0000 0.0000
0.3295 0.3295 0.6156
0.4286 0.4286 0.2988
0.5714 0.5714 0.7012
0.6705 0.6705 0.3844



Pm3Pr4Th | Alexandria | PBE | optimized geometry; formation energy = 3.6 kcal/mol of atoms; symmetry = C2/m (12); calculated volume = 35.375 A^3/atom; size of the total moment = 0.000 μB/atom
1.0
11.9843 -1.7633 0.0000
11.9843 1.7633 0.0000
-2.0382 0.0000 6.6960
Pm Pr Th
3 4 1
Direct
0.0000 0.0000 0.0000
0.1216 0.1216 0.3840
0.8784 0.8784 0.6160
0.1215 0.1215 0.8594
0.2575 0.2575 0.2609
0.7425 0.7425 0.7391
0.8785 0.8785 0.1406
0.5000 0.5000 0.5000



Dy4Pd15Pb | Alexandria | PBE | optimized geometry; formation energy = -17.6 kcal/mol of atoms; symmetry = P4/mmm (123); calculated volume = 17.480 A^3/atom; size of the total moment = 0.000 μB/atom
1.0
4.1225 0.0000 0.0000
0.0000 4.1225 0.0000
0.0000 0.0000 20.5716
Dy Pd Pb
4 15 1
Direct
0.0000 0.0000 0.0998
0.0000 0.0000 0.2992
0.0000 0.0000 0.7008
0.0000 0.0000 0.9002
0.0000 0.5000 0.0000
0.0000 0.5000 0.2002
0.0000 0.5000 0.4008
0.0000 0.5000 0.5992
0.0000 0.5000 0.7998
0.5000 0.0000 0.0000
0.5000 0.0000 0.2002
0.5000 0.0000 0.4008
0.5000 0.0000 0.5992
0.5000 0.0000 0.7998
0.5000 0.5000 0.1007
0.5000 0.5000 0.3013
0.5000 0.5000 0.5000
0.5000 0.5000 0.6987
0.5000 0.5000 0.8993
0.0000 0.0000 0.5000